# TiAlW | Alexandria | PBE | relaxed
data_TiAlW
_cell_length_a 2.8026
_cell_length_b 2.8026
_cell_length_c 45.0258
_cell_angle_alpha 90.00
_cell_angle_beta 90.00
_cell_angle_gamma 120.00
_symmetry_space_group_name_H-M 'R -3 m'
_symmetry_Int_Tables_number 166
_symmetry_space_group_name_Hall '-R 3 2"'
loop_
_atom_site_label
_atom_site_fract_x
_atom_site_fract_y
_atom_site_fract_z
Ti1 0.0000 0.0000 0.1927
Al1 0.0000 0.0000 0.3597
W1 0.0000 0.0000 0.4196
# - energy relative to the elements (eV/atom) = 0.3742
# - DFT total energy (eV/atom) = -7.82
# - E above lowest polymorph (meV per atom) = 560
# - crystal system = trigonal


# TiAl2W | Alexandria | PBE | relaxed
data_TiAl2W
_cell_length_a 3.874
_cell_length_b 3.874
_cell_length_c 4.155
_cell_angle_alpha 90.00
_cell_angle_beta 90.00
_cell_angle_gamma 90.00
_symmetry_space_group_name_H-M 'P 4/m m m'
_symmetry_Int_Tables_number 123
_symmetry_space_group_name_Hall '-P 4 2'
loop_
_atom_site_label
_atom_site_fract_x
_atom_site_fract_y
_atom_site_fract_z
Ti1 0.000 0.000 0.000
Al1 0.000 0.500 0.500
W1 0.500 0.500 0.000
# - energy relative to the elements (eV/atom) = -0.2210
# - DFT total energy (eV/atom) = -7.30
# - E above lowest polymorph (meV per atom) = 0
# - crystal system = tetragonal


# Ti6AlW | Alexandria | PBE | relaxed
data_Ti6AlW
_cell_length_a 4.5929
_cell_length_b 4.5929
_cell_length_c 22.0352
_cell_angle_alpha 90.00
_cell_angle_beta 90.00
_cell_angle_gamma 120.00
_symmetry_space_group_name_H-M 'R -3 m'
_symmetry_Int_Tables_number 166
_symmetry_space_group_name_Hall '-R 3 2"'
loop_
_atom_site_label
_atom_site_fract_x
_atom_site_fract_y
_atom_site_fract_z
Ti1 0.0000 0.0000 0.1219
Ti2 0.0000 0.0000 0.2494
Ti3 0.0000 0.0000 0.3708
Al1 0.0000 0.0000 0.5000
W1 0.0000 0.0000 0.0000
# - energy relative to the elements (eV/atom) = -0.0631
# - DFT total energy (eV/atom) = -8.07
# - crystal system = trigonal


# Ti4AlW | Alexandria | PBE | relaxed
data_Ti4AlW
_cell_length_a 9.363
_cell_length_b 2.791
_cell_length_c 8.608
_cell_angle_alpha 90.00
_cell_angle_beta 117.88
_cell_angle_gamma 90.00
_symmetry_space_group_name_H-M 'C 1 2/m 1'
_symmetry_Int_Tables_number 12
_symmetry_space_group_name_Hall '-C 2y'
loop_
_atom_site_label
_atom_site_fract_x
_atom_site_fract_y
_atom_site_fract_z
Ti1 0.155 0.000 0.337
Ti2 0.178 0.000 0.826
Al1 0.000 0.500 0.500
W1 0.000 0.500 0.000
# - energy relative to the elements (eV/atom) = -0.0447
# - DFT total energy (eV/atom) = -8.09
# - E above lowest polymorph (meV per atom) = 0
# - crystal system = monoclinic


# TiAl2W | Alexandria | PBE | relaxed
data_TiAl2W
_cell_length_a 2.8486
_cell_length_b 2.8486
_cell_length_c 27.6469
_cell_angle_alpha 90.00
_cell_angle_beta 90.00
_cell_angle_gamma 120.00
_symmetry_space_group_name_H-M 'R -3 m'
_symmetry_Int_Tables_number 166
_symmetry_space_group_name_Hall '-R 3 2"'
loop_
_atom_site_label
_atom_site_fract_x
_atom_site_fract_y
_atom_site_fract_z
Ti1 0.0000 0.0000 0.0000
Al1 0.0000 0.0000 0.2483
W1 0.0000 0.0000 0.5000
# - energy relative to the elements (eV/atom) = -0.0458
# - DFT total energy (eV/atom) = -7.13
# - E above lowest polymorph (meV per atom) = 175
# - crystal system = trigonal


# Ti3Al12W5 | Alexandria | PBE | relaxed
data_Ti3Al12W5
_cell_length_a 15.140
_cell_length_b 15.140
_cell_length_c 15.140
_cell_angle_alpha 90.00
_cell_angle_beta 90.00
_cell_angle_gamma 90.00
_symmetry_space_group_name_H-M 'I a -3 d'
_symmetry_Int_Tables_number 230
_symmetry_space_group_name_Hall '-I 4bd 2c 3'
loop_
_atom_site_label
_atom_site_fract_x
_atom_site_fract_y
_atom_site_fract_z
Ti1 0.000 0.250 0.125
Al1 0.009 0.074 0.652
W1 0.000 0.000 0.000
W2 0.000 0.250 0.375
# - energy relative to the elements (eV/atom) = 1.1805
# - DFT total energy (eV/atom) = -5.49
# - crystal system = cubic